Record 1
Computed, not measured: a relaxed Cr2ReRh crystal at the GGA-PBEsol level of DFT.

Unit cell a=2.622 b=4.525 c=4.525 alpha=108.14 beta=90.00 gamma=90.00
Element x y z (fractional)
Rh  0.500  0.500  0.500
Re  0.500  0.000  0.000
Cr  0.000  0.000  0.500
Cr  0.000  0.500  0.000

Energy ... -0.3824 Ha/atom
Volume ... 51.03 Å³ per cell

---

Record 2
Computed, not measured: a relaxed Li2Sn5 crystal at the GGA-PBEsol level of DFT.

Unit cell a=3.098 b=10.186 c=10.186 alpha=90.00 beta=90.00 gamma=90.00
Element x y z (fractional)
Sn  0.000  0.795  0.932
Li  0.500  0.325  0.825
Sn  0.000  0.500  0.000
Sn  0.000  0.432  0.295
Li  0.500  0.825  0.675
Sn  0.000  0.000  0.500
Sn  0.000  0.705  0.432
Sn  0.000  0.295  0.568
Sn  0.000  0.068  0.795
Sn  0.000  0.205  0.068
Li  0.500  0.175  0.325
Sn  0.000  0.932  0.205
Sn  0.000  0.568  0.705
Li  0.500  0.675  0.175

Energy ... -0.1406 Ha/atom
Volume ... 321.42 Å³ per cell

---

Record 3
Computed, not measured: a relaxed MnPNCl2 crystal at the GGA-PBEsol level of DFT.

Unit cell a=3.205 b=5.502 c=5.502 alpha=90.00 beta=90.00 gamma=90.00
Element x y z (fractional)
P  0.500  0.000  0.000
Cl  0.000  0.000  0.500
Mn  0.500  0.500  0.500
Cl  0.000  0.500  0.000
N  0.000  0.000  0.000

Volume ... 97.01 Å³ per cell
E_form (uncorrected) ... 0.76 eV/atom

---

Record 4
Computed, not measured: a relaxed Mg2InSb crystal at the GGA-PBEsol level of DFT.

Unit cell a=4.276 b=4.276 c=5.924 alpha=111.15 beta=111.15 gamma=90.00
Element x y z (fractional)
Sb  0.500  0.500  0.000
In  0.250  0.750  0.500
Mg  0.000  0.000  0.000
Mg  0.750  0.250  0.500

Volume ... 93.12 Å³ per cell
Energy above the most stable polymorph in this dataset ... 22 meV per atom
E_form (uncorrected) ... -0.15 eV/atom

---

Record 5
Computed, not measured: a relaxed InReSiOs2 crystal at the GGA-PBEsol level of DFT.

Unit cell a=4.744 b=4.744 c=4.792 alpha=90.00 beta=90.00 gamma=90.00
Element x y z (fractional)
In  0.000  0.000  0.000
Os  0.500  0.000  0.000
Re  0.000  0.000  0.500
Os  0.000  0.500  0.000
Si  0.500  0.500  0.500

Volume ... 107.84 Å³ per cell
E_form (uncorrected) ... 3.21 eV/atom

---

Record 6
Computed, not measured: a relaxed CuAgMo2 crystal at the GGA-PBEsol level of DFT.

Unit cell a=4.386 b=4.386 c=4.386 alpha=60.00 beta=60.00 gamma=60.00
Element x y z (fractional)
Mo  0.750  0.750  0.750
Ag  0.500  0.500  0.500
Cu  0.250  0.250  0.250
Mo  0.000  0.000  0.000

Volume ... 59.66 Å³ per cell
Energy above the most stable polymorph in this dataset ... 361 meV per atom

---

Record 7
Computed, not measured: a relaxed Ba5La3Ga4O16 crystal at the GGA-PBEsol level of DFT.

Unit cell a=5.915 b=7.338 c=10.055 alpha=89.76 beta=89.56 gamma=89.44
Element x y z (fractional)
O  0.996  0.776  0.937
La  0.234  0.492  0.947
O  0.007  0.688  0.453
O  0.741  0.357  0.327
O  0.111  0.006  0.312
Ga  0.736  0.226  0.168
O  0.243  0.648  0.183
O  0.511  0.321  0.058
O  0.000  0.239  0.565
Ba  0.758  0.172  0.828
Ba  0.236  0.335  0.328
Ba  0.265  0.994  0.054
O  0.748  0.858  0.677
O  0.900  0.491  0.770
O  0.990  0.290  0.073
O  0.243  0.161  0.819
O  0.399  0.503  0.708
Ga  0.258  0.288  0.661
Ga  0.234  0.778  0.341
La  0.765  0.001  0.452
Ba  0.257  0.833  0.674
O  0.640  0.999  0.217
Ba  0.737  0.662  0.164
O  0.500  0.741  0.434
O  0.494  0.197  0.553
La  0.729  0.500  0.544
O  0.506  0.736  0.927
Ga  0.763  0.707  0.827

Volume ... 436.40 Å³ per cell
E_form (uncorrected) ... -2.61 eV/atom

---

Record 8
Computed, not measured: a relaxed ZrIrSe crystal at the GGA-PBEsol level of DFT.

Unit cell a=4.294 b=4.294 c=4.294 alpha=60.00 beta=60.00 gamma=60.00
Element x y z (fractional)
Zr  0.000  0.000  0.000
Ir  0.500  0.500  0.500
Se  0.250  0.250  0.250

Volume ... 55.98 Å³ per cell
E_form (uncorrected) ... -0.23 eV/atom

---

Record 9
Computed, not measured: a relaxed BaCrAs crystal at the GGA-PBEsol level of DFT.

Unit cell a=5.022 b=5.022 c=5.022 alpha=60.00 beta=60.00 gamma=60.00
Element x y z (fractional)
Cr  0.500  0.500  0.500
Ba  0.000  0.000  0.000
As  0.250  0.250  0.250

Energy ... -0.2125 Ha/atom
Volume ... 89.54 Å³ per cell

---

Record 10
Computed, not measured: a relaxed LiTeCl2 crystal at the GGA-PBEsol level of DFT.

Unit cell a=3.312 b=4.904 c=6.243 alpha=90.00 beta=90.00 gamma=90.00
Element x y z (fractional)
Cl  0.500  0.874  0.500
Li  0.000  0.376  0.000
Te  0.500  0.374  0.500
Cl  0.000  0.876  0.000

Volume ... 101.41 Å³ per cell
Energy above the most stable polymorph in this dataset ... 71 meV per atom
E_form (uncorrected) ... -0.60 eV/atom

---

Record 11
Computed, not measured: a relaxed CrSb3P crystal at the GGA-PBEsol level of DFT.

Unit cell a=4.871 b=4.871 c=4.871 alpha=90.00 beta=90.00 gamma=90.00
Element x y z (fractional)
Cr  0.000  0.000  0.000
Sb  0.000  0.000  0.500
Sb  0.500  0.000  0.000
P  0.500  0.500  0.500
Sb  0.000  0.500  0.000

Volume ... 115.56 Å³ per cell
E_form (uncorrected) ... 0.60 eV/atom

---

Record 12
Computed, not measured: a relaxed MnAl2Pt crystal at the GGA-PBEsol level of DFT.

Unit cell a=2.851 b=4.361 c=4.803 alpha=106.33 beta=107.27 gamma=90.00
Element x y z (fractional)
Al  0.756  0.305  0.511
Pt  0.251  0.801  0.503
Al  0.996  0.952  0.993
Mn  0.497  0.441  0.993

Energy ... -0.2474 Ha/atom
Volume ... 54.49 Å³ per cell

---

Record 13
Computed, not measured: a relaxed KCa3Al crystal at the GGA-PBEsol level of DFT.

Unit cell a=6.021 b=6.021 c=6.021 alpha=90.00 beta=90.00 gamma=90.00
Element x y z (fractional)
Al  0.000  0.000  0.000
Ca  0.000  0.500  0.000
K  0.500  0.500  0.500
Ca  0.000  0.000  0.500
Ca  0.500  0.000  0.000

Volume ... 218.23 Å³ per cell
Energy above the most stable polymorph in this dataset ... 0 meV per atom

---

Record 14
Computed, not measured: a relaxed Mg2SbRh crystal at the GGA-PBEsol level of DFT.

Unit cell a=4.184 b=4.184 c=5.031 alpha=114.57 beta=114.57 gamma=90.00
Element x y z (fractional)
Mg  0.000  0.000  0.000
Mg  0.750  0.250  0.500
Rh  0.500  0.500  0.000
Sb  0.250  0.750  0.500

Volume ... 71.24 Å³ per cell
E_form (uncorrected) ... -0.32 eV/atom

---

Record 15
Computed, not measured: a relaxed Rb3PH crystal at the GGA-PBEsol level of DFT.

Unit cell a=6.346 b=6.346 c=6.346 alpha=90.00 beta=90.00 gamma=90.00
Element x y z (fractional)
Rb  0.500  0.000  0.000
P  0.000  0.000  0.000
Rb  0.000  0.500  0.000
Rb  0.000  0.000  0.500
H  0.500  0.500  0.500

Energy ... -0.0819 Ha/atom
Volume ... 255.62 Å³ per cell

---

Record 16
Computed, not measured: a relaxed ReAg2Pt crystal at the GGA-PBEsol level of DFT.

Unit cell a=2.713 b=4.718 c=4.916 alpha=90.00 beta=90.00 gamma=90.00
Element x y z (fractional)
Ag  0.000  0.000  0.000
Ag  0.500  0.500  0.000
Re  0.000  0.500  0.500
Pt  0.500  0.000  0.500

Volume ... 62.94 Å³ per cell
Energy above the most stable polymorph in this dataset ... 0 meV per atom

---

Record 17
Computed, not measured: a relaxed CoSbTe2 crystal at the GGA-PBEsol level of DFT.

Unit cell a=5.005 b=5.005 c=5.005 alpha=60.00 beta=60.00 gamma=60.00
Element x y z (fractional)
Te  0.250  0.250  0.250
Te  0.000  0.000  0.000
Sb  0.750  0.750  0.750
Co  0.500  0.500  0.500

Volume ... 88.66 Å³ per cell
E_form (uncorrected) ... 0.64 eV/atom

---

Record 18
Computed, not measured: a relaxed TaGaAs3 crystal at the GGA-PBEsol level of DFT.

Unit cell a=4.956 b=4.956 c=4.956 alpha=90.00 beta=90.00 gamma=90.00
Element x y z (fractional)
As  0.500  0.000  0.000
As  0.000  0.000  0.500
Ta  0.000  0.000  0.000
As  0.000  0.500  0.000
Ga  0.500  0.500  0.500

Energy ... -0.2179 Ha/atom
Volume ... 121.70 Å³ per cell

---

Record 19
Computed, not measured: a relaxed MgTlCr3 crystal at the GGA-PBEsol level of DFT.

Unit cell a=5.108 b=5.108 c=5.108 alpha=90.00 beta=90.00 gamma=90.00
Element x y z (fractional)
Cr  0.500  0.000  0.000
Cr  0.000  0.000  0.500
Cr  0.000  0.500  0.000
Mg  0.500  0.500  0.500
Tl  0.000  0.000  0.000

Energy ... -0.1978 Ha/atom
Volume ... 133.26 Å³ per cell

---

Record 20
Computed, not measured: a relaxed CuSi4Pt crystal at the GGA-PBEsol level of DFT.

Unit cell a=4.952 b=4.952 c=4.952 alpha=60.00 beta=60.00 gamma=60.00
Element x y z (fractional)
Si  0.375  0.375  0.375
Si  0.375  0.874  0.375
Pt  0.000  0.000  0.000
Si  0.375  0.375  0.874
Cu  0.750  0.750  0.750
Si  0.874  0.375  0.375

Volume ... 85.84 Å³ per cell
E_form (uncorrected) ... 0.43 eV/atom

---

Record 21
Computed, not measured: a relaxed CaB2Pd crystal at the GGA-PBEsol level of DFT.

Unit cell a=3.942 b=3.942 c=7.993 alpha=104.28 beta=104.28 gamma=90.00
Element x y z (fractional)
Pd  0.250  0.750  0.500
B  0.625  0.875  0.750
B  0.125  0.375  0.250
Ca  0.500  0.500  0.000
B  0.125  0.875  0.250
B  0.125  0.875  0.750
Pd  0.000  0.000  0.000
Ca  0.750  0.250  0.500

Energy ... -0.2027 Ha/atom
Volume ... 116.41 Å³ per cell

---

Record 22
Computed, not measured: a relaxed NaCoS2N crystal at the GGA-PBEsol level of DFT.

Unit cell a=3.333 b=4.773 c=4.773 alpha=90.00 beta=90.00 gamma=90.00
Element x y z (fractional)
Na  0.500  0.500  0.500
Co  0.000  0.000  0.000
N  0.500  0.000  0.000
S  0.000  0.500  0.000
S  0.000  0.000  0.500

Volume ... 75.93 Å³ per cell
E_form (uncorrected) ... 0.05 eV/atom

---

Record 23
Computed, not measured: a relaxed Er5P12Ru19 crystal at the GGA-PBEsol level of DFT.

Unit cell a=3.906 b=12.364 c=12.364 alpha=120.00 beta=90.00 gamma=90.00
Element x y z (fractional)
Ru  0.000  0.185  0.377
P  0.500  0.171  0.478
Ru  0.500  0.000  0.282
P  0.500  0.829  0.307
Ru  0.500  0.718  0.718
Er  0.500  0.000  0.816
Ru  0.500  0.509  0.874
P  0.000  0.628  0.000
P  0.500  0.307  0.829
Ru  0.000  0.808  0.623
Ru  0.000  0.000  0.444
Ru  0.000  0.000  0.000
Ru  0.000  0.623  0.808
P  0.000  0.000  0.183
Er  0.000  0.667  0.333
P  0.000  0.372  0.372
Ru  0.000  0.444  0.000
Ru  0.500  0.874  0.509
Ru  0.500  0.634  0.126
P  0.500  0.478  0.171
Ru  0.000  0.192  0.815
Ru  0.000  0.815  0.192
P  0.500  0.522  0.693
P  0.000  0.817  0.817
Ru  0.000  0.377  0.185
P  0.500  0.693  0.522
Ru  0.000  0.556  0.556
Ru  0.500  0.126  0.634
Ru  0.500  0.282  0.000
Ru  0.500  0.491  0.366
Er  0.500  0.816  0.000
Er  0.500  0.184  0.184
P  0.000  0.183  0.000
Ru  0.500  0.366  0.491
Er  0.000  0.333  0.667
P  0.000  0.000  0.628

Energy ... -0.3264 Ha/atom
Volume ... 517.06 Å³ per cell

---

Record 24
Computed, not measured: a relaxed La3BiN crystal at the GGA-PBEsol level of DFT.

Unit cell a=5.899 b=7.094 c=7.094 alpha=120.00 beta=90.00 gamma=90.00
Element x y z (fractional)
N  0.000  0.000  0.000
Bi  0.250  0.333  0.667
La  0.250  0.327  0.164
La  0.250  0.836  0.673
La  0.750  0.164  0.836
La  0.250  0.836  0.164
La  0.750  0.164  0.327
La  0.750  0.673  0.836
Bi  0.750  0.667  0.333
N  0.500  0.000  0.000

Volume ... 257.10 Å³ per cell
E_form (uncorrected) ... -1.09 eV/atom

---

Record 25
Computed, not measured: a relaxed KRb2BaO crystal at the GGA-PBEsol level of DFT.

Unit cell a=5.744 b=5.974 c=5.974 alpha=90.00 beta=90.00 gamma=90.00
Element x y z (fractional)
Rb  0.000  0.000  0.500
K  0.500  0.000  0.000
O  0.000  0.000  0.000
Rb  0.000  0.500  0.000
Ba  0.500  0.500  0.500

Volume ... 204.96 Å³ per cell
E_form (uncorrected) ... -0.23 eV/atom

---

Short version: magnetic moment = 0.0001; 0.0000; 0.9338; 0.0000; 0.4879; 0.0001; 0.0240; 0.0000; 1.6677; 0.0232; 0.0506; 0.5462; 0.0000; 0.0000; 0.2070; 0.1534; 0.3615; 0.0000; 2.5891; 0.0001; 0.0000; 0.0002; 0.0000; 0.0000; 0.2262 μB/atom, in the order given.